# ZnRhAuF2

Crystalline ZnRhAuF2 at its relaxed geometry (GGA-PBE, the Alexandria database).

Properties
E_form (uncorrected) = -0.6543 eV/atom
Space-group type = P4/mmm
Calculated total energy = -3.783 eV/atom
Magnetization = 0.278 μB/atom

Unit cell a=3.8454 b=5.8492 c=3.8454 alpha=90.00 beta=90.00 gamma=90.00
Last column: nearest neighbours and their distance in Å.
Element x y z (fractional)
Zn 0.0000 0.0000 0.0000  4 F 1.92
Au 0.0000 0.5000 0.0000  4 Rh 2.72, 2 Zn 2.92
F 0.0000 0.0000 0.5000  2 Zn 1.92
Rh 0.5000 0.5000 0.5000  4 Au 2.72
F 0.5000 0.0000 0.0000  2 Zn 1.92

***

# RuAuF2

Crystalline RuAuF2 at its relaxed geometry (GGA-PBE, the Alexandria database).

Properties
E_form (uncorrected) = -0.1639 eV/atom
Space-group type = I-42d
Calculated total energy = -4.238 eV/atom
Magnetization = 0.817 μB/atom
Energy relative to the lowest polymorph listed for this composition = 0.553 eV/atom

Unit cell a=4.0043 b=4.0043 c=8.1472 alpha=75.77 beta=75.77 gamma=90.00
Last column: nearest neighbours and their distance in Å.
Element x y z (fractional)
Ru 0.5000 0.5000 0.0000  4 F 2.27
Ru 0.2500 0.7500 0.5000  4 F 2.27
F 0.8750 0.8049 0.7500  2 Ru 2.27, 2 F 2.47, 2 Au 2.51
F 0.5549 0.1250 0.2500  2 Ru 2.27, 2 F 2.47, 2 Au 2.51
Au 0.7500 0.2500 0.5000  4 F 2.51
Au 0.0000 0.0000 0.0000  4 F 2.51
F 0.3750 0.4451 0.7500  2 Ru 2.27, 2 F 2.47, 2 Au 2.51
F 0.1951 0.6250 0.2500  2 Ru 2.27, 2 F 2.47, 2 Au 2.51